Entry 1:
This record from OQMD via LeMat-Bulk describes an optimized crystal structure of CoAgGeS3. The functional is GGA-PBE.

abc: 7.5229 7.5229 8.9070
angles: 90.00 90.00 153.88
Positions (direct):
Ge1 0.3460 0.6540 0.7500
Ge2 0.6540 0.3460 0.2500
S1 0.3985 0.6015 0.4784
S2 0.3985 0.6015 0.0216
S3 0.9608 0.0392 0.7500
S4 0.6015 0.3985 0.9784
S5 0.0392 0.9608 0.2500
S6 0.6015 0.3985 0.5216
Co1 0.0000 0.0000 0.5000
Co2 0.0000 0.0000 0.0000
Ag1 0.3001 0.6999 0.2500
Ag2 0.6999 0.3001 0.7500

## Properties
- E: -28.22 eV/f.u.
- Calculated density: 5.02 g/cm3
- Crystal system: orthorhombic

---

Entry 2:
This record from OQMD via LeMat-Bulk describes an optimized crystal structure of IrSe2. The functional is GGA-PBE.

abc: 5.3711 5.3711 5.3711
angles: 60.00 60.00 60.00
Positions (direct):
Se1 0.6250 0.6250 0.1250
Se2 0.6250 0.6250 0.6250
Se3 0.1250 0.6250 0.6250
Se4 0.6250 0.1250 0.6250
Ir1 0.2500 0.2500 0.2500
Ir2 0.0000 0.0000 0.0000

## Properties
- E: -11.23 eV/f.u.
- Calculated density: 10.61 g/cm3
- Crystal system: cubic

---

Entry 3:
This record from OQMD via LeMat-Bulk describes an optimized crystal structure of Dy2Zr2Co. The functional is GGA-PBE.

abc: 6.0644 6.0644 11.0177
angles: 117.72 117.72 43.09
Positions (direct):
Co1 0.3817 0.3817 0.6669
Co2 0.6183 0.6183 0.3331
Zr1 0.3513 0.3513 0.8774
Zr2 0.8653 0.8653 0.5402
Zr3 0.1347 0.1347 0.4598
Zr4 0.6487 0.6487 0.1226
Dy1 0.6422 0.6422 0.6744
Dy2 0.3578 0.3578 0.3256
Dy3 0.0542 0.0542 0.8748
Dy4 0.9458 0.9458 0.1252

## Properties
- E: -33.56 eV/f.u.
- ΔH_f (0 K): -32 meV per atom
- Calculated density: 7.85 g/cm3
- Crystal system: monoclinic

---

Entry 4:
This record from OQMD via LeMat-Bulk describes an optimized crystal structure of Li3Tc2O6. The functional is GGA-PBE.

abc: 5.1152 5.1152 5.1062
angles: 100.10 100.10 119.42
Last column: magnetic moment on the atom in μB.
Positions (direct):
O1 0.0823 0.4222 0.7744  0.13
O2 0.2197 0.2294 0.2321  0.12
O3 0.4098 0.0688 0.7661  0.15
O4 0.9312 0.5902 0.2339  0.15
O5 0.7706 0.7803 0.7679  0.13
O6 0.5778 0.9177 0.2256  0.14
Li1 0.5030 0.4970 0.0000  0.01
Li2 0.0008 0.9992 0.5000  0.00
Li3 0.3507 0.6493 0.5000  0.00
Tc1 0.8272 0.1728 0.0000  1.89
Tc2 0.1669 0.8331 0.0000  1.89

## Properties
- E: -73.73 eV/f.u.
- Calculated density: 4.76 g/cm3
- Crystal system: monoclinic

---

Entry 5:
This record from OQMD via LeMat-Bulk describes an optimized crystal structure of Fe2H6Se. The functional is GGA-PBE.

abc: 2.7061 2.7724 7.0715
angles: 90.00 90.00 90.00
Positions (direct):
H1 0.0000 0.0000 0.6783
H2 0.0000 0.5000 0.5000
H3 0.0000 0.5000 0.1927
H4 0.5000 0.0000 0.5000
H5 0.0000 0.5000 0.8073
H6 0.0000 0.0000 0.3217
Fe1 0.5000 0.5000 0.6825
Fe2 0.5000 0.5000 0.3175
Se1 0.5000 0.0000 0.0000

## Properties
- E: -37.21 eV/f.u.
- Calculated density: 6.16 g/cm3
- Crystal system: orthorhombic

---

Entry 6:
This record from OQMD via LeMat-Bulk describes an optimized crystal structure of HoErSbCl2. The functional is GGA-PBE.

abc: 4.1103 4.1103 10.4374
angles: 90.00 90.00 120.00
Positions (direct):
Er1 0.0000 0.0000 0.8307
Sb1 0.6667 0.3333 0.9989
Cl1 0.3333 0.6667 0.6846
Cl2 0.0000 0.0000 0.3168
Ho1 0.3333 0.6667 0.1691

## Properties
- E: -24.92 eV/f.u.
- Calculated density: 5.71 g/cm3
- Crystal system: trigonal